1.
The following is a PBE-GGA calculation of a geometry-optimized AcTcO3 structure, from OQMD.

abc: 5.8006 5.8006 13.5302
angles: 90.00 90.00 120.00
Closest atoms and distances in Å follow each position.
Space group R-3c (No. 167, hexagonal axes)
One atom of each set of equivalent atoms:
Ac1 0.0000 0.0000 0.2500  3 O 2.49
Tc1 0.0000 0.0000 0.0000  6 O 2.06
O1 0.0000 0.4292 0.2500  2 Tc 2.06

## Properties
Its uncorrected energy is -40.40 eV/f.u. The density is 9.43 g/cm3.


2.
The following is a PBE-GGA calculation of a geometry-optimized AcTcO3 structure, from OQMD.

abc: 5.8169 5.8169 15.1521
angles: 90.00 90.00 120.00
Closest atoms and distances in Å follow each position.
Space group R-3 (No. 148, hexagonal axes)
One atom of each set of equivalent atoms:
Ac1 0.0000 0.0000 0.1314  6 O 2.39-2.63
Tc1 0.0000 0.0000 0.3372  6 O 2.11-2.14
O1 0.0111 0.6236 0.9272  2 Tc 2.11-2.14

## Properties
Its uncorrected energy is -39.13 eV/f.u. The density is 8.37 g/cm3.


3.
The following is a PBE-GGA calculation of a geometry-optimized AcTcO3 structure, from OQMD.

abc: 4.0223 4.0223 4.0298
angles: 90.00 90.00 90.00
Closest atoms and distances in Å follow each position.
Space group P4mm (No. 99)
One atom of each set of equivalent atoms:
Ac1 0.0000 0.0000 0.0000  12 O 2.83-2.86
Tc1 0.5000 0.5000 0.5022  6 O 2.01-2.02
O1 0.0000 0.5000 0.5043  2 Tc 2.01
O2 0.5000 0.5000 0.0021  2 Tc 2.01-2.02

## Properties
Its uncorrected energy is -40.07 eV/f.u. The density is 9.50 g/cm3.


4.
The following is a PBE-GGA calculation of a geometry-optimized AcTcO3 structure, from OQMD.

abc: 5.8396 8.0949 5.6515
angles: 90.00 90.00 90.00
Closest atoms and distances in Å follow each position.
Space group Pnma (No. 62)
One atom of each set of equivalent atoms:
Ac1 0.0527 0.2500 0.0108  8 O 2.49-2.79
Tc1 0.0000 0.0000 0.5000  6 O 2.07-2.09
O1 0.0119 0.7500 0.4254  2 Tc 2.07
O2 0.2076 0.5394 0.7965  2 Tc 2.08-2.09

## Properties
Its uncorrected energy is -40.47 eV/f.u. The density is 9.27 g/cm3.


Repeat the first record exactly.
The following is a PBE-GGA calculation of a geometry-optimized AcTcO3 structure, from OQMD.

abc: 5.8006 5.8006 13.5302
angles: 90.00 90.00 120.00
Closest atoms and distances in Å follow each position.
Space group R-3c (No. 167, hexagonal axes)
One atom of each set of equivalent atoms:
Ac1 0.0000 0.0000 0.2500  3 O 2.49
Tc1 0.0000 0.0000 0.0000  6 O 2.06
O1 0.0000 0.4292 0.2500  2 Tc 2.06

## Properties
Its uncorrected energy is -40.40 eV/f.u. The density is 9.43 g/cm3.


> Look up the uncorrected energy of the first one.

-40.40 eV/f.u.


> Which of these has the lowest uncorrected energy?

number 4